Here is Rb3MnTc2O8 after structural relaxation from the Alexandria database. Energies are from GGA+U.

a b c (Å): 6.0455 6.0455 7.9724
angles (deg): 90.00 90.00 120.00
Fractional coordinates of all 14 atoms:
Rb 0.0000 0.0000 0.0000
Rb 0.3333 0.6667 0.6752
Rb 0.6667 0.3333 0.3248
Mn 0.0000 0.0000 0.5000
Tc 0.3333 0.6667 0.2450
Tc 0.6667 0.3333 0.7550
O 0.1702 0.3404 0.3320
O 0.1702 0.8298 0.3320
O 0.3333 0.6667 0.0226
O 0.3404 0.1702 0.6680
O 0.6596 0.8298 0.3320
O 0.6667 0.3333 0.9774
O 0.8298 0.1702 0.6680
O 0.8298 0.6596 0.6680

## Properties
Calculated total energy   -6.6130 eV/atom